# TlAg2HgBr6 (PBE-GGA, optimized geometry)
data_TlAg2HgBr6
_space_group_name_H-M_alt 'C 1 2/c 1'
_space_group_IT_number 15
_space_group_name_Hall '-C 2yc'
_cell_length_a 15.180
_cell_length_b 14.774
_cell_length_c 8.141
_cell_angle_alpha 90.00
_cell_angle_beta 118.82
_cell_angle_gamma 90.00
loop_
_atom_site_label
_atom_site_fract_x
_atom_site_fract_y
_atom_site_fract_z
Tl1 0.000 0.102 0.250
Ag1 0.202 0.446 0.254
Hg1 0.000 0.236 0.750
Br1 0.105 0.462 0.434
Br2 0.116 0.258 0.092
Br3 0.122 0.075 0.716
# Formation energy without anion corrections (kJ per mole of atoms): -37.7
# Crystal system: monoclinic
# V (Å³/atom): 40.0